Density functional theory data (PBE) for an optimized crystal structure of VPbAu2.

a b c (Å): 6.194 6.194 6.194
angles (deg): 102.05 102.05 125.62
Positions (direct):
V 0.000 0.000 0.000
V 0.750 0.250 0.500
Pb 0.250 0.750 0.500
Pb 0.500 0.500 0.000
Au 0.094 0.625 0.969
Au 0.375 0.344 0.469
Au 0.656 0.125 0.031
Au 0.875 0.906 0.531

Output
* ΔH_f (0 K): 285 meV per atom

=====

Density functional theory data (PBE) for an optimized crystal structure of VPbAu3.

a b c (Å): 5.003 5.003 5.003
angles (deg): 90.00 90.00 90.00
Positions (direct):
V 0.000 0.000 0.000
Pb 0.500 0.500 0.500
Au 0.000 0.000 0.500
Au 0.000 0.500 0.000
Au 0.500 0.000 0.000

Output
* ΔH_f (0 K): 545 meV per atom

=====

Density functional theory data (PBE) for an optimized crystal structure of PbWAu2.

a b c (Å): 6.237 6.237 6.237
angles (deg): 152.51 133.03 55.28
Positions (direct):
Pb 0.000 0.000 0.000
W 0.500 0.500 0.000
Au 0.283 0.783 0.500
Au 0.717 0.217 0.500

Output
* ΔH_f (0 K): 583 meV per atom

=====

Density functional theory data (PBE) for an optimized crystal structure of Pb3WAu.

a b c (Å): 5.386 5.386 5.386
angles (deg): 90.00 90.00 90.00
Positions (direct):
Pb 0.000 0.000 0.500
Pb 0.000 0.500 0.000
Pb 0.500 0.000 0.000
W 0.000 0.000 0.000
Au 0.500 0.500 0.500

Output
* excess energy over the best structure of this formula in the dataset: 0 meV/atom
* ΔH_f (0 K): 716 meV per atom

=====

Density functional theory data (PBE) for an optimized crystal structure of PbWAu2.

a b c (Å): 5.268 5.268 3.041
angles (deg): 90.00 90.00 113.86
Positions (direct):
Pb 0.000 0.000 0.000
W 0.500 0.500 0.000
Au 0.000 0.500 0.500
Au 0.500 0.000 0.500

Output
* ΔH_f (0 K): 555 meV per atom

=====

Density functional theory data (PBE) for an optimized crystal structure of Pb2WAu.

a b c (Å): 3.006 3.006 11.024
angles (deg): 90.00 90.00 109.34
Positions (direct):
Pb 0.000 0.000 0.225
Pb 0.000 0.000 0.775
W 0.500 0.500 0.000
Au 0.500 0.500 0.500

Output
* excess energy over the best structure of this formula in the dataset: 262 meV/atom
* ΔH_f (0 K): 728 meV per atom

=====

Which of these has the highest ΔH_f (0 K)? Pb2WAu

=====

Among the records above, which one has the highest ΔH_f (0 K)? Pb2WAu

=====

ΔH_f (0 K) of number 1 (VPbAu2)? 285 meV per atom

=====

Which value of ΔH_f (0 K) does entry 2 give? 545 meV per atom